[1]
DFT (PBE-GGA) results for a relaxed U4Ga12Fe crystal.

As for the calculated volume: 18.297 Å³ per atom. The value obtained for the total energy is -0.2025 Ha/atom.

The structure belongs to space group Im-3m (No. 229); the cell edges are 8.5367, 8.5367 and 8.5367 Å and the angles 90.00°, 90.00° and 90.00°. The asymmetric unit holds U at (0.2500, 0.2500, 0.2500), Ga at (0.0000, 0.0000, 0.2832), Ga at (0.0000, 0.2500, 0.5000) and Fe at (0.0000, 0.0000, 0.0000).

[2]
DFT (PBE-GGA) results for a relaxed GaFeW crystal.

As for the calculated volume: 16.550 Å³ per atom. The value obtained for the total energy is -0.2717 Ha/atom.

The structure belongs to space group F-43m (No. 216); the cell edges are 5.8343, 5.8343 and 5.8343 Å and the angles 90.00°, 90.00° and 90.00°. The asymmetric unit holds Ga at (0.0000, 0.0000, 0.0000), Fe at (0.0000, 0.0000, 0.5000) and W at (0.2500, 0.2500, 0.7500).

[3]
DFT (PBE-GGA) results for a relaxed Ga2FeW crystal.

As for the calculated volume: 14.031 Å³ per atom. The value obtained for the total energy is -0.2389 Ha/atom.

The structure belongs to space group F-43m (No. 216); the cell edges are 6.0777, 6.0777 and 6.0777 Å and the angles 90.00°, 90.00° and 90.00°. The asymmetric unit holds Ga at (0.0000, 0.0000, 0.0000), Ga at (0.2500, 0.2500, 0.2500), Fe at (0.2500, 0.2500, 0.7500) and W at (0.0000, 0.0000, 0.5000).

[4]
DFT (PBE-GGA) results for a relaxed GaFeW2 crystal.

As for the calculated volume: 14.455 Å³ per atom. The value obtained for the total energy is -0.3335 Ha/atom.

The structure belongs to space group F-43m (No. 216); the cell edges are 6.1383, 6.1383 and 6.1383 Å and the angles 90.00°, 90.00° and 90.00°. The asymmetric unit holds Ga at (0.0000, 0.0000, 0.0000), Fe at (0.2500, 0.2500, 0.2500), W at (0.0000, 0.0000, 0.5000) and W at (0.2500, 0.2500, 0.7500).

[5]
DFT (PBE-GGA) results for a relaxed ZrGaFeW crystal.

For the energy above the most stable polymorph in this dataset, the calculation gives 0.0 kJ/mol of formula units. As for the calculated volume: 15.985 Å³ per atom. The value obtained for the total energy is -0.2935 Ha/atom.

The structure belongs to space group F-43m (No. 216); the cell edges are 6.3476, 6.3476 and 6.3476 Å and the angles 90.00°, 90.00° and 90.00°. The asymmetric unit holds Zr at (0.0000, 0.0000, 0.0000), Ga at (0.0000, 0.0000, 0.5000), Fe at (0.2500, 0.2500, 0.7500) and W at (0.2500, 0.2500, 0.2500).

[6]
DFT (PBE-GGA) results for a relaxed YGaFe2 crystal.

As for the calculated volume: 15.652 Å³ per atom. The value obtained for the total energy is -0.2372 Ha/atom.

The structure belongs to space group F-43m (No. 216); the cell edges are 6.3033, 6.3033 and 6.3033 Å and the angles 90.00°, 90.00° and 90.00°. The asymmetric unit holds Y at (0.0000, 0.0000, 0.0000), Ga at (0.2500, 0.2500, 0.7500), Fe at (0.0000, 0.0000, 0.5000) and Fe at (0.2500, 0.2500, 0.2500).

[7]
DFT (PBE-GGA) results for a relaxed Y2Ga3Fe14 crystal.

As for the calculated volume: 13.641 Å³ per atom. The value obtained for the total energy is -0.2715 Ha/atom.

The structure belongs to space group P6_3/mmc (No. 194); the cell edges are 8.5399, 8.5399 and 8.2064 Å and the angles 90.00°, 90.00° and 120.00°. The asymmetric unit holds Y at (0.0000, 0.0000, 0.2500), Y at (0.3333, 0.6667, 0.2500), Ga at (0.0000, 0.5000, 0.0000), Fe at (0.0296, 0.3506, 0.7500), Fe at (0.1655, 0.3309, 0.0139) and Fe at (0.3333, 0.6667, 0.6117).

[8]
DFT (PBE-GGA) results for a relaxed Y3GaFe3 crystal.

As for the calculated volume: 19.293 Å³ per atom. The value obtained for the total energy is -0.2545 Ha/atom.

The structure belongs to space group Cmcm (No. 63); the cell edges are 4.1963, 10.1611 and 12.6690 Å and the angles 90.00°, 90.00° and 90.00°. The asymmetric unit holds Y at (0.0000, 0.0014, 0.2500), Y at (0.0000, 0.2869, 0.6048), Ga at (0.0000, 0.0000, 0.0000), Fe at (0.0000, 0.3121, 0.2500) and Fe at (0.0000, 0.4236, 0.0940).

[9]
DFT (PBE-GGA) results for a relaxed YZnGaFe crystal.

For the energy above the most stable polymorph in this dataset, the calculation gives 40.5 kJ/mol of formula units. As for the calculated volume: 17.265 Å³ per atom. The value obtained for the total energy is -0.1764 Ha/atom.

The structure belongs to space group F-43m (No. 216); the cell edges are 6.5127, 6.5127 and 6.5127 Å and the angles 90.00°, 90.00° and 90.00°. The asymmetric unit holds Y at (0.0000, 0.0000, 0.0000), Zn at (0.2500, 0.2500, 0.2500), Ga at (0.0000, 0.0000, 0.5000) and Fe at (0.2500, 0.2500, 0.7500).

[10]
DFT (PBE-GGA) results for a relaxed YZnGaFe crystal.

For the energy above the most stable polymorph in this dataset, the calculation gives 0.0 kJ/mol of formula units. As for the calculated volume: 17.594 Å³ per atom. The value obtained for the total energy is -0.1803 Ha/atom.

The structure belongs to space group F-43m (No. 216); the cell edges are 6.5538, 6.5538 and 6.5538 Å and the angles 90.00°, 90.00° and 90.00°. The asymmetric unit holds Y at (0.0000, 0.0000, 0.0000), Zn at (0.2500, 0.2500, 0.7500), Ga at (0.2500, 0.2500, 0.2500) and Fe at (0.0000, 0.0000, 0.5000).

[11]
DFT (PBE-GGA) results for a relaxed ZnGaFe2 crystal.

As for the calculated volume: 12.449 Å³ per atom. The value obtained for the total energy is -0.1907 Ha/atom.

The structure belongs to space group Pm-3m (No. 221); the cell edges are 5.8401, 5.8401 and 5.8401 Å and the angles 90.00°, 90.00° and 90.00°. The asymmetric unit holds Zn at (0.0000, 0.0000, 0.0000), Zn at (0.0000, 0.0000, 0.5000), Ga at (0.0000, 0.5000, 0.5000), Ga at (0.5000, 0.5000, 0.5000) and Fe at (0.2543, 0.2543, 0.2543).

[12]
DFT (PBE-GGA) results for a relaxed ZnGaFe2 crystal.

As for the calculated volume: 12.650 Å³ per atom. The value obtained for the total energy is -0.1917 Ha/atom.

The structure belongs to space group F-43m (No. 216); the cell edges are 5.8714, 5.8714 and 5.8714 Å and the angles 90.00°, 90.00° and 90.00°. The asymmetric unit holds Zn at (0.0000, 0.0000, 0.0000), Ga at (0.2500, 0.2500, 0.7500), Fe at (0.0000, 0.0000, 0.5000) and Fe at (0.2500, 0.2500, 0.2500).

[13]
DFT (PBE-GGA) results for a relaxed ZnGa2Fe crystal.

As for the calculated volume: 14.922 Å³ per atom. The value obtained for the total energy is -0.1346 Ha/atom.

The structure belongs to space group F-43m (No. 216); the cell edges are 6.2036, 6.2036 and 6.2036 Å and the angles 90.00°, 90.00° and 90.00°. The asymmetric unit holds Zn at (0.0000, 0.0000, 0.0000), Ga at (0.0000, 0.0000, 0.5000), Ga at (0.2500, 0.2500, 0.2500) and Fe at (0.2500, 0.2500, 0.7500).

[14]
DFT (PBE-GGA) results for a relaxed Zn2GaFe crystal.

As for the calculated volume: 13.201 Å³ per atom. The value obtained for the total energy is -0.1228 Ha/atom.

The structure belongs to space group F-43m (No. 216); the cell edges are 5.9554, 5.9554 and 5.9554 Å and the angles 90.00°, 90.00° and 90.00°. The asymmetric unit holds Zn at (0.0000, 0.0000, 0.0000), Zn at (0.2500, 0.2500, 0.2500), Ga at (0.2500, 0.2500, 0.7500) and Fe at (0.0000, 0.0000, 0.5000).

[15]
DFT (PBE-GGA) results for a relaxed Zn2GaFe crystal.

As for the calculated volume: 13.187 Å³ per atom. The value obtained for the total energy is -0.1228 Ha/atom.

The structure belongs to space group F-43m (No. 216); the cell edges are 5.9533, 5.9533 and 5.9533 Å and the angles 90.00°, 90.00° and 90.00°. The asymmetric unit holds Zn at (0.0000, 0.0000, 0.0000), Zn at (0.2500, 0.2500, 0.2500), Ga at (0.0000, 0.0000, 0.5000) and Fe at (0.2500, 0.2500, 0.7500).

[16]
DFT (PBE-GGA) results for a relaxed Zr6Ga16Fe7 crystal.

As for the calculated volume: 15.487 Å³ per atom. The value obtained for the total energy is -0.2128 Ha/atom.

The structure belongs to space group Fm-3m (No. 225); the cell edges are 12.1565, 12.1565 and 12.1565 Å and the angles 90.00°, 90.00° and 90.00°. The asymmetric unit holds Zr at (0.0000, 0.0000, 0.2071), Ga at (0.1223, 0.1223, 0.3777), Ga at (0.1588, 0.1588, 0.1588), Fe at (0.0000, 0.0000, 0.5000) and Fe at (0.0000, 0.2500, 0.2500).

[17]
DFT (PBE-GGA) results for a relaxed Zr3GaFe8 crystal.

As for the calculated volume: 13.916 Å³ per atom. The value obtained for the total energy is -0.3011 Ha/atom.

The structure belongs to space group R3m (No. 160, hexagonal axes); the cell edges are 4.9066, 4.9066 and 24.0283 Å and the angles 90.00°, 90.00° and 120.00°. The asymmetric unit holds Zr at (0.0000, 0.0000, 0.0000), Zr at (0.0000, 0.0000, 0.1276), Zr at (0.0000, 0.0000, 0.6199), Ga at (0.0000, 0.0000, 0.4972), Fe at (0.0000, 0.0000, 0.3120), Fe at (0.0000, 0.0000, 0.8122), Fe at (0.0009, 0.5004, 0.5612) and Fe at (0.0011, 0.5006, 0.0628).

[18]
DFT (PBE-GGA) results for a relaxed Zr4Ga5Fe2 crystal.

As for the calculated volume: 17.716 Å³ per atom. The value obtained for the total energy is -0.2353 Ha/atom.

The structure belongs to space group P2/m (No. 10); the cell edges are 6.9747, 3.2916 and 8.5021 Å and the angles 90.00°, 93.25° and 90.00°. The asymmetric unit holds Zr at (0.1859, 0.0000, 0.3554), Zr at (0.2259, 0.0000, 0.9314), Ga at (0.1553, 0.5000, 0.6425), Ga at (0.4474, 0.5000, 0.1717), Ga at (0.5000, 0.5000, 0.5000) and Fe at (0.0763, 0.5000, 0.1360).

[19]
DFT (PBE-GGA) results for a relaxed Zr2GaFe crystal.

As for the calculated volume: 16.986 Å³ per atom. The value obtained for the total energy is -0.2608 Ha/atom.

The structure belongs to space group F-43m (No. 216); the cell edges are 6.4775, 6.4775 and 6.4775 Å and the angles 90.00°, 90.00° and 90.00°. The asymmetric unit holds Zr at (0.0000, 0.0000, 0.0000), Zr at (0.2500, 0.2500, 0.2500), Ga at (0.0000, 0.0000, 0.5000) and Fe at (0.2500, 0.2500, 0.7500).

[20]
DFT (PBE-GGA) results for a relaxed ZrGaFe2 crystal.

As for the calculated volume: 14.326 Å³ per atom. The value obtained for the total energy is -0.2625 Ha/atom.

The structure belongs to space group F-43m (No. 216); the cell edges are 6.1200, 6.1200 and 6.1200 Å and the angles 90.00°, 90.00° and 90.00°. The asymmetric unit holds Zr at (0.0000, 0.0000, 0.0000), Ga at (0.2500, 0.2500, 0.7500), Fe at (0.0000, 0.0000, 0.5000) and Fe at (0.2500, 0.2500, 0.2500).